# 1
This record from the Alexandria database describes crystalline Sm2Th4Pb3N2 at its relaxed geometry. The functional is PBE.

Cell: 13.7115 13.7115 13.7115 Å, 159.71 159.71 28.85°
Element x y z (fractional)
Sm  0.1958  0.1958  0.0000
Sm  0.8042  0.8042  0.0000
Th  0.0848  0.5848  0.5000
Th  0.4152  0.9152  0.5000
Th  0.5848  0.0848  0.5000
Th  0.9152  0.4152  0.5000
Pb  0.3199  0.3199  0.0000
Pb  0.5000  0.5000  0.0000
Pb  0.6801  0.6801  0.0000
N  0.1034  0.1034  0.0000
N  0.8966  0.8966  0.0000

Magnetization   0.0 μB per formula unit
Formation energy from raw total energies   -0.75 eV/atom


# 2
This record from the Alexandria database describes crystalline Sm4TlPbN at its relaxed geometry. The functional is PBE.

Cell: 8.9169 8.9169 6.8711 Å, 90.00 90.00 134.68°
Element x y z (fractional)
Sm  0.0000  0.5000  0.0000
Sm  0.0000  0.5000  0.5000
Sm  0.0861  0.9139  0.7500
Sm  0.4099  0.5901  0.7500
Sm  0.5000  0.0000  0.0000
Sm  0.5000  0.0000  0.5000
Sm  0.5901  0.4099  0.2500
Sm  0.9139  0.0861  0.2500
Tl  0.1102  0.8898  0.2500
Tl  0.8898  0.1102  0.7500
Pb  0.3929  0.6071  0.2500
Pb  0.6071  0.3929  0.7500
N  0.2518  0.7482  0.7500
N  0.7482  0.2518  0.2500

Magnetization   0.0 μB per formula unit
Formation energy from raw total energies   -0.73 eV/atom


# 3
This record from the Alexandria database describes crystalline SnPbN2 at its relaxed geometry. The functional is PBE.

Cell: 4.0408 4.0408 8.2154 Å, 90.00 90.00 90.00°
Element x y z (fractional)
Sn  0.2500  0.2500  0.1049
Sn  0.7500  0.7500  0.8951
Pb  0.2500  0.2500  0.6341
Pb  0.7500  0.7500  0.3659
N  0.2500  0.2500  0.3564
N  0.2500  0.7500  0.0000
N  0.7500  0.2500  0.0000
N  0.7500  0.7500  0.6436

E above lowest polymorph   325 meV per atom
Magnetization   0.0 μB per formula unit
Formation energy from raw total energies   0.48 eV/atom


# 4
This record from the Alexandria database describes crystalline SnPbN3 at its relaxed geometry. The functional is PBE.

Cell: 4.3637 4.3637 4.3637 Å, 90.00 90.00 90.00°
Element x y z (fractional)
Sn  0.0000  0.0000  0.0000
Pb  0.5000  0.5000  0.5000
N  0.0000  0.5000  0.5000
N  0.5000  0.0000  0.5000
N  0.5000  0.5000  0.0000

Magnetization   3.0 μB per formula unit
Formation energy from raw total energies   1.94 eV/atom


# 5
This record from the Alexandria database describes crystalline Sn3PbN at its relaxed geometry. The functional is PBE.

Cell: 5.7692 5.7692 5.7692 Å, 90.00 90.00 90.00°
Element x y z (fractional)
Sn  0.0000  0.0000  0.5000
Sn  0.0000  0.5000  0.0000
Sn  0.5000  0.0000  0.0000
Pb  0.0000  0.0000  0.0000
N  0.5000  0.5000  0.5000

E above lowest polymorph   1489 meV per atom
Magnetization   0.0 μB per formula unit
Formation energy from raw total energies   1.90 eV/atom


# 6
This record from the Alexandria database describes crystalline SnPbN2 at its relaxed geometry. The functional is PBE.

Cell: 6.0837 6.0837 6.0837 Å, 124.03 124.03 83.16°
Element x y z (fractional)
Sn  0.0000  0.0000  0.0000
Sn  0.7500  0.2500  0.5000
Pb  0.2500  0.7500  0.5000
Pb  0.5000  0.5000  0.0000
N  0.0564  0.6250  0.9314
N  0.3750  0.3064  0.4314
N  0.6936  0.1250  0.0686
N  0.8750  0.9436  0.5686

E above lowest polymorph   312 meV per atom
Magnetization   0.0 μB per formula unit
Formation energy from raw total energies   0.46 eV/atom


# 7
This record from the Alexandria database describes crystalline SnPb2N at its relaxed geometry. The functional is PBE.

Cell: 6.5910 6.5910 6.5910 Å, 115.67 115.67 97.68°
Element x y z (fractional)
Sn  0.0000  0.0000  0.0000
Sn  0.7500  0.2500  0.5000
Pb  0.2123  0.6250  0.0873
Pb  0.3750  0.4623  0.5873
Pb  0.5377  0.1250  0.9127
Pb  0.8750  0.7877  0.4127
N  0.2500  0.7500  0.5000
N  0.5000  0.5000  0.0000

E above lowest polymorph   0 meV per atom
Magnetization   0.0 μB per formula unit
Formation energy from raw total energies   0.58 eV/atom


# 8
This record from the Alexandria database describes crystalline SnPb2N at its relaxed geometry. The functional is PBE.

Cell: 5.1717 5.1717 5.1717 Å, 60.00 60.00 60.00°
Element x y z (fractional)
Sn  0.0000  0.0000  0.0000
Pb  0.2500  0.2500  0.2500
Pb  0.7500  0.7500  0.7500
N  0.5000  0.5000  0.5000

E above lowest polymorph   453 meV per atom
Magnetization   1.3 μB per formula unit
Formation energy from raw total energies   1.03 eV/atom


# 9
This record from the Alexandria database describes crystalline Sn2PbN at its relaxed geometry. The functional is PBE.

Cell: 5.0551 5.0551 5.0551 Å, 60.00 60.00 60.00°
Element x y z (fractional)
Sn  0.2500  0.2500  0.2500
Sn  0.7500  0.7500  0.7500
Pb  0.0000  0.0000  0.0000
N  0.5000  0.5000  0.5000

E above lowest polymorph   720 meV per atom
Magnetization   0.0 μB per formula unit
Formation energy from raw total energies   1.11 eV/atom


# 10
This record from the Alexandria database describes crystalline SnPbN3 at its relaxed geometry. The functional is PBE.

Cell: 4.2354 4.2354 4.2354 Å, 90.00 90.00 90.00°
Element x y z (fractional)
Sn  0.0000  0.0000  0.0000
Pb  0.5000  0.5000  0.5000
N  0.0000  0.0000  0.5000
N  0.0000  0.5000  0.0000
N  0.5000  0.0000  0.0000

Magnetization   3.0 μB per formula unit
Formation energy from raw total energies   1.35 eV/atom


# 11
This record from the Alexandria database describes crystalline Sn2PbN at its relaxed geometry. The functional is PBE.

Cell: 6.3448 6.3448 6.3448 Å, 113.25 113.25 102.16°
Element x y z (fractional)
Sn  0.0217  0.6250  0.8967
Sn  0.3750  0.2717  0.3967
Sn  0.7283  0.1250  0.1033
Sn  0.8750  0.9783  0.6033
Pb  0.2500  0.7500  0.5000
Pb  0.5000  0.5000  0.0000
N  0.0000  0.0000  0.0000
N  0.7500  0.2500  0.5000

E above lowest polymorph   0 meV per atom
Magnetization   0.0 μB per formula unit
Formation energy from raw total energies   0.39 eV/atom


# 12
This record from the Alexandria database describes crystalline SnPbN2 at its relaxed geometry. The functional is PBE.

Cell: 4.4113 4.4113 4.4113 Å, 60.00 60.00 60.00°
Element x y z (fractional)
Sn  0.0000  0.0000  0.0000
Pb  0.5000  0.5000  0.5000
N  0.2500  0.2500  0.2500
N  0.7500  0.7500  0.7500

E above lowest polymorph   1181 meV per atom
Magnetization   0.0 μB per formula unit
Formation energy from raw total energies   1.33 eV/atom